(1)
The following is a PBE calculation of a geometry-optimized HfMg2Ge structure, from Alexandria via LeMat-Bulk.

Unit cell a=7.971 b=7.971 c=6.267 alpha=50.51 beta=50.51 gamma=90.00
Positions (direct):
Ge  0.500  0.500  0.000
Ge  0.250  0.750  0.500
Mg  0.170  0.625  0.250
Mg  0.375  0.420  0.750
Mg  0.875  0.830  0.750
Mg  0.580  0.125  0.250
Hf  0.000  0.000  0.000
Hf  0.750  0.250  0.500

Calculated values
E_tot in eV/atom: -4.290
Space group: No. 122
ΔE_f in eV/atom: 0.150

(2)
The following is a PBE calculation of a geometry-optimized Hf4Ru3Rh structure, from Alexandria via LeMat-Bulk.

Unit cell a=3.245 b=4.600 c=9.193 alpha=90.00 beta=90.00 gamma=90.00
Positions (direct):
Ru  0.500  0.000  0.751
Ru  0.500  0.000  0.249
Ru  0.500  0.500  0.500
Hf  0.000  0.500  0.252
Hf  0.000  0.000  0.500
Hf  0.000  0.500  0.748
Hf  0.000  0.000  0.000
Rh  0.500  0.500  0.000

Calculated values
E_tot in eV/atom: -10.195
Space group: No. 47
ΔE_f in eV/atom: -0.821

(3)
The following is a PBE calculation of a geometry-optimized CsAl2PbI8 structure, from Alexandria via LeMat-Bulk.

Unit cell a=7.630 b=7.630 c=12.274 alpha=71.89 beta=71.89 gamma=60.00
Each line ends with the local moment (μB).
Positions (direct):
I  0.288  0.941  0.188  0.01
I  0.829  0.829  0.512  0.01
I  0.941  0.582  0.188  0.01
I  0.171  0.171  0.488  0.01
I  0.582  0.288  0.188  0.01
I  0.059  0.418  0.812  0.01
I  0.712  0.059  0.812  0.01
I  0.418  0.712  0.812  0.01
Cs  0.500  0.500  0.500  0.00
Al  0.245  0.245  0.264  0.03
Al  0.755  0.755  0.736  0.03
Pb  0.000  0.000  0.000  0.27

Calculated values
E_tot in eV/atom: -2.743
Space group: No. 148

(4)
The following is a PBE calculation of a geometry-optimized MnTlBr2 structure, from Alexandria via LeMat-Bulk.

Unit cell a=5.566 b=5.566 c=3.648 alpha=90.00 beta=90.00 gamma=90.00
Each line ends with the local moment (μB).
Positions (direct):
Br  0.500  0.500  0.000  0.05
Br  0.000  0.000  0.000  0.05
Tl  0.000  0.500  0.500  0.01
Mn  0.500  0.000  0.500  4.43

Calculated values
E_tot in eV/atom: -3.819
Energy above the lowest structure with this stoichiometry in eV/atom: 0.382
Space group: No. 123

(5)
The following is a PBE calculation of a geometry-optimized Cs3TaTi structure, from Alexandria via LeMat-Bulk.

Unit cell a=6.938 b=6.938 c=6.938 alpha=90.00 beta=90.00 gamma=90.00
Each line ends with the local moment (μB).
Positions (direct):
Cs  0.000  0.000  0.500  0.05
Cs  0.000  0.500  0.000  0.05
Cs  0.500  0.000  0.000  0.05
Ti  0.000  0.000  0.000  2.20
Ta  0.500  0.500  0.500  2.37

Calculated values
E_tot in eV/atom: -2.376
Space group: No. 221
ΔE_f in eV/atom: 2.086

(6)
The following is a PBE calculation of a geometry-optimized Tm2BBr structure, from Alexandria via LeMat-Bulk.

Unit cell a=3.829 b=3.829 c=7.332 alpha=74.86 beta=74.86 gamma=60.00
Positions (direct):
B  0.000  0.000  0.000
Tm  0.273  0.273  0.182
Tm  0.727  0.727  0.818
Br  0.500  0.500  0.500

Calculated values
E_tot in eV/atom: -5.109
Space group: No. 166

(7)
The following is a PBE calculation of a geometry-optimized Pr2MnP3Rh12 structure, from Alexandria via LeMat-Bulk.

Unit cell a=7.090 b=7.090 c=7.090 alpha=73.24 beta=73.24 gamma=73.24
Each line ends with the local moment (μB).
Positions (direct):
Rh  0.913  0.330  0.330  0.01
Rh  0.143  0.143  0.640  -0.01
Rh  0.857  0.360  0.857  -0.01
Rh  0.857  0.857  0.360  -0.01
Rh  0.360  0.857  0.857  -0.01
Rh  0.670  0.087  0.670  0.01
Rh  0.670  0.670  0.087  0.01
Rh  0.143  0.640  0.143  -0.01
Rh  0.330  0.913  0.330  0.01
Rh  0.330  0.330  0.913  0.01
Rh  0.087  0.670  0.670  0.01
Rh  0.640  0.143  0.143  -0.01
Pr  0.607  0.607  0.607  0.03
Pr  0.393  0.393  0.393  0.03
P  0.000  0.000  0.500  0.00
P  0.000  0.500  0.000  0.00
P  0.500  0.000  0.000  0.00
Mn  0.000  0.000  0.000  3.60

Calculated values
E_tot in eV/atom: -7.047
Space group: No. 166
ΔE_f in eV/atom: -0.204

(8)
The following is a PBE calculation of a geometry-optimized HoTm3Sc8 structure, from Alexandria via LeMat-Bulk.

Unit cell a=8.140 b=8.140 c=8.140 alpha=99.20 beta=95.96 gamma=137.42
Positions (direct):
Sc  0.500  0.249  0.251
Sc  0.825  0.250  0.075
Sc  0.500  0.751  0.749
Sc  0.175  0.250  0.425
Sc  0.825  0.750  0.575
Sc  0.175  0.750  0.925
Sc  0.998  0.249  0.749
Sc  0.002  0.751  0.251
Ho  0.000  0.000  0.000
Tm  0.500  0.752  0.252
Tm  0.500  0.248  0.748
Tm  0.000  0.500  0.500

Calculated values
E_tot in eV/atom: -5.418
Space group: No. 71
ΔE_f in eV/atom: 0.303